# Sr3MgV2O9 (GGA+U, relaxed)
data_Sr3MgV2O9
_chemical_formula_sum 'Sr3 Mg1 V2 O9'
_symmetry_space_group_name_H-M 'P -3 m 1'
_symmetry_Int_Tables_number 164
_symmetry_space_group_name_Hall '-P 3 2"'
_cell_length_a 5.5374
_cell_length_b 5.5374
_cell_length_c 6.8108
_cell_angle_alpha 90.00
_cell_angle_beta 90.00
_cell_angle_gamma 120.00
loop_
_atom_site_label
_atom_site_type_symbol
_atom_site_fract_x
_atom_site_fract_y
_atom_site_fract_z
_atom_site_occupancy
Sr1 Sr 0.0000 0.0000 0.0000 1
Sr2 Sr 0.3333 0.6667 0.6787 1
Mg1 Mg 0.0000 0.0000 0.5000 1
V1 V 0.3333 0.6667 0.1795 1
O1 O 0.0000 0.5000 0.0000 1
O2 O 0.1732 0.3463 0.3226 1
# VASP energy = -6.942 eV/atom